VASP calculation (PBE) on an optimized crystal structure of Pr7Zn4Cd.

Cell lengths 5.888, 8.975, 7.753 Å; angles 67.65, 67.68, 70.85 degrees
Atoms (fractional coordinates):
Pr 0.813 0.881 0.492
Pr 0.187 0.119 0.508
Pr 0.073 0.596 0.257
Pr 0.927 0.404 0.743
Pr 0.277 0.683 0.763
Pr 0.500 0.000 0.000
Pr 0.723 0.317 0.237
Zn 0.515 0.323 0.646
Zn 0.485 0.677 0.354
Zn 0.687 0.662 0.964
Zn 0.313 0.338 0.036
Cd 0.000 0.000 0.000

SG = C2/m, No. 12
total DFT energy (no corrections) = -40.64 eV/cell
crystal system = monoclinic
size of the total moment = 0.0 μB per formula unit